# 1
{
  "formula": "RePPtS2",
  "functional": "PBE",
  "state": "optimized geometry",
  "total_energy_ev_per_cell": -27.830,
  "formation_energy_uncorrected_ev_per_atom": 0.86,
  "sg": "No. 123",
  "lattice_angstrom": [[4.4059, 0.0000, 0.0000], [0.0000, 5.3454, 0.0000], [0.0000, 0.0000, 4.4059]],
  "species": ["P", "Re", "Pt", "S", "S"],
  "frac_coords": [[0.5000, 0.5000, 0.5000], [0.0000, 0.0000, 0.0000], [0.0000, 0.5000, 0.0000], [0.5000, 0.0000, 0.0000], [0.0000, 0.0000, 0.5000]]
}



# 2
{
  "formula": "VReP2Pt",
  "functional": "PBE",
  "state": "optimized geometry",
  "total_energy_ev_per_cell": -33.339,
  "sg": "No. 123",
  "delta_e_f_ev_per_atom": 1.018,
  "lattice_angstrom": [[-3.3867, -2.9526, -0.0332], [2.6732, -3.0872, 1.8741], [-1.4078, 1.5633, 4.5832]],
  "species": ["P", "P", "V", "Pt", "Re"],
  "frac_coords": [[0.5000, 0.0000, 0.0000], [0.0000, 0.5000, 0.0000], [0.5000, 0.5000, 0.5000], [0.0000, 0.0000, 0.5000], [0.0000, 0.0000, 0.0000]]
}



# 3
{
  "formula": "ZnReP2Pt",
  "functional": "PBE",
  "state": "optimized geometry",
  "total_energy_ev_per_cell": -23.784,
  "sg": "No. 123",
  "delta_e_f_ev_per_atom": 1.360,
  "lattice_angstrom": [[4.5138, 0.0000, 0.0000], [0.0000, 5.2992, 0.0000], [0.0000, 0.0000, 4.5138]],
  "species": ["P", "P", "Re", "Pt", "Zn"],
  "frac_coords": [[0.0000, 0.0000, 0.5000], [0.5000, 0.0000, 0.0000], [0.0000, 0.5000, 0.0000], [0.0000, 0.0000, 0.0000], [0.5000, 0.5000, 0.5000]]
}



# 4
{
  "formula": "Zr2RePPt",
  "functional": "PBE",
  "state": "optimized geometry",
  "total_energy_ev_per_cell": -36.895,
  "sg": "No. 123",
  "delta_e_f_ev_per_atom": 0.820,
  "lattice_angstrom": [[-2.0052, -1.7720, 4.3880], [3.5171, -2.2567, 0.6959], [2.0464, 3.9724, 2.5393]],
  "species": ["Zr", "Zr", "Pt", "P", "Re"],
  "frac_coords": [[0.5000, 0.0000, 0.0000], [0.0000, 0.0000, 0.5000], [0.0000, 0.0000, 0.0000], [0.0000, 0.5000, 0.0000], [0.5000, 0.5000, 0.5000]]
}



# 5
{
  "formula": "P2PtRh",
  "functional": "PBE",
  "state": "optimized geometry",
  "total_energy_ev_per_cell": -25.456,
  "sg": "No. 10",
  "delta_e_f_ev_per_atom": -0.311,
  "lattice_angstrom": [[-0.8598, 3.4440, -1.3094], [0.1542, -1.4414, -3.8925], [-4.0124, -0.8241, 0.4671]],
  "species": ["P", "P", "Pt", "Rh"],
  "frac_coords": [[0.0000, 0.0692, 0.9207], [0.0000, 0.4308, 0.5793], [0.5000, 0.2500, 0.2500], [0.5000, 0.7500, 0.7500]]
}



# 6
{
  "formula": "PPt2Rh",
  "functional": "PBE",
  "state": "optimized geometry",
  "total_energy_ev_per_cell": -24.524,
  "sg": "No. 119",
  "delta_e_f_ev_per_atom": 0.080,
  "lattice_angstrom": [[-2.0791, 2.0791, 3.4496], [2.0791, -2.0791, 3.4496], [2.0791, 2.0791, -3.4496]],
  "species": ["Pt", "Pt", "Rh", "P"],
  "frac_coords": [[0.0000, 0.0000, 0.0000], [0.2500, 0.7500, 0.5000], [0.5000, 0.5000, 0.0000], [0.7500, 0.2500, 0.5000]]
}



# 7
{
  "formula": "P2PtRh",
  "functional": "PBE",
  "state": "optimized geometry",
  "total_energy_ev_per_cell": -24.355,
  "sg": "No. 44",
  "delta_e_f_ev_per_atom": -0.036,
  "lattice_angstrom": [[-0.8318, 5.0933, -0.2871], [-1.8322, 2.4202, 4.1834], [3.8249, -2.8530, -1.9864]],
  "species": ["Pt", "P", "P", "Rh"],
  "frac_coords": [[0.5180, 0.5180, 0.0000], [0.7467, 0.2467, 0.5000], [0.0103, 0.0103, 0.0000], [0.2250, 0.7250, 0.5000]]
}



# 8
{
  "formula": "PPtRh",
  "functional": "PBE",
  "state": "optimized geometry",
  "total_energy_ev_per_cell": -81.632,
  "sg": "No. 54",
  "delta_e_f_ev_per_atom": -0.535,
  "lattice_angstrom": [[5.8019, 0.0000, 0.0000], [0.0000, 5.5675, 0.0262], [0.0000, -0.0218, 5.5861]],
  "species": ["Rh", "Rh", "Rh", "Rh", "Pt", "Pt", "Pt", "Pt", "P", "P", "P", "P"],
  "frac_coords": [[0.7500, 0.9998, 0.5021], [0.7500, 0.9998, 0.0021], [0.2500, 0.0002, 0.9979], [0.2500, 0.0002, 0.4979], [0.2499, 0.5001, 0.5268], [0.7501, 0.4999, 0.4732], [0.7499, 0.4999, 0.9732], [0.2501, 0.5001, 0.0268], [0.4998, 0.7698, 0.2502], [0.5002, 0.2302, 0.7498], [0.0002, 0.7698, 0.7502], [0.9998, 0.2302, 0.2498]]
}



# 9
{
  "formula": "PPt2Rh",
  "functional": "PBE",
  "state": "optimized geometry",
  "total_energy_ev_per_cell": -24.175,
  "sg": "No. 65",
  "delta_e_f_ev_per_atom": 0.167,
  "lattice_angstrom": [[1.3775, -2.4081, 0.0000], [1.3775, 2.4081, 0.0000], [0.0000, 0.0000, 9.0953]],
  "species": ["Rh", "Pt", "Pt", "P"],
  "frac_coords": [[0.5000, 0.5000, 0.5000], [0.0000, 0.0000, 0.7602], [0.0000, 0.0000, 0.2398], [0.5000, 0.5000, 0.0000]]
}



# 10
{
  "formula": "PPtRh3",
  "functional": "PBE",
  "state": "optimized geometry",
  "total_energy_ev_per_cell": -25.162,
  "sg": "No. 221",
  "delta_e_f_ev_per_atom": 1.669,
  "lattice_angstrom": [[4.7669, 0.0000, 0.0000], [0.0000, 4.7669, 0.0000], [0.0000, 0.0000, 4.7669]],
  "species": ["Rh", "Rh", "Rh", "P", "Pt"],
  "frac_coords": [[0.0000, 0.0000, 0.5000], [0.0000, 0.5000, 0.0000], [0.5000, 0.0000, 0.0000], [0.5000, 0.5000, 0.5000], [0.0000, 0.0000, 0.0000]]
}



# 11
{
  "formula": "PPt2Rh",
  "functional": "PBE",
  "state": "optimized geometry",
  "total_energy_ev_per_cell": -24.922,
  "sg": "No. 166",
  "delta_e_f_ev_per_atom": -0.020,
  "lattice_angstrom": [[-6.6830, -4.6425, 1.5876], [-4.6613, -6.7190, 1.3649], [-5.0353, -5.3190, 3.8846]],
  "species": ["Pt", "Pt", "P", "Rh"],
  "frac_coords": [[0.2596, 0.2596, 0.2596], [0.7404, 0.7404, 0.7404], [0.0000, 0.0000, 0.0000], [0.5000, 0.5000, 0.5000]]
}



# 12
{
  "formula": "PPtRh3",
  "functional": "PBE",
  "state": "optimized geometry",
  "total_energy_ev_per_cell": -32.429,
  "sg": "No. 221",
  "delta_e_f_ev_per_atom": 0.215,
  "lattice_angstrom": [[4.3375, 0.0000, 0.0000], [0.0000, 4.3375, 0.0000], [0.0000, 0.0000, 4.3375]],
  "species": ["P", "Pt", "Rh", "Rh", "Rh"],
  "frac_coords": [[0.0000, 0.0000, 0.0000], [0.5000, 0.5000, 0.5000], [0.0000, 0.5000, 0.0000], [0.5000, 0.0000, 0.0000], [0.0000, 0.0000, 0.5000]]
}



# 13
{
  "formula": "PPt2Rh",
  "functional": "PBE",
  "state": "optimized geometry",
  "total_energy_ev_per_cell": -24.506,
  "sg": "No. 123",
  "delta_e_f_ev_per_atom": 0.084,
  "lattice_angstrom": [[-1.5801, -4.2822, -0.8821], [0.5836, -1.1362, 4.4700], [-2.5907, 0.8422, 0.5523]],
  "species": ["Rh", "P", "Pt", "Pt"],
  "frac_coords": [[0.5000, 0.5000, 0.5000], [0.0000, 0.0000, 0.5000], [0.5000, 0.0000, 0.0000], [0.0000, 0.5000, 0.0000]]
}



# 14
{
  "formula": "P2PtRh",
  "functional": "PBE",
  "state": "optimized geometry",
  "total_energy_ev_per_cell": -23.608,
  "sg": "No. 65",
  "delta_e_f_ev_per_atom": 0.151,
  "lattice_angstrom": [[-1.5972, 0.2994, 2.3778], [2.5852, -1.2677, 0.0680], [3.5754, 7.3705, 1.4734]],
  "species": ["P", "P", "Rh", "Pt"],
  "frac_coords": [[0.0000, 0.0000, 0.9909], [0.0000, 0.0000, 0.5091], [0.5000, 0.5000, 0.7500], [0.5000, 0.5000, 0.2500]]
}



# 15
{
  "formula": "P2PtRh",
  "functional": "PBE",
  "state": "optimized geometry",
  "total_energy_ev_per_cell": -24.278,
  "sg": "No. 123",
  "delta_e_f_ev_per_atom": -0.016,
  "lattice_angstrom": [[-1.3040, 0.2647, 2.7557], [0.9937, -2.7986, 0.7391], [5.1309, 2.4020, 2.1972]],
  "species": ["P", "P", "Pt", "Rh"],
  "frac_coords": [[0.0000, 0.0000, 0.5107], [0.0000, 0.0000, 0.9893], [0.5000, 0.5000, 0.2500], [0.5000, 0.5000, 0.7500]]
}



# 16
{
  "formula": "PPt2Rh",
  "functional": "PBE",
  "state": "optimized geometry",
  "total_energy_ev_per_cell": -24.893,
  "sg": "No. 12",
  "delta_e_f_ev_per_atom": -0.013,
  "lattice_angstrom": [[-2.5365, -0.8218, -4.7229], [3.2442, -3.7647, 2.1720], [-1.6651, -2.3473, 0.3942]],
  "species": ["Pt", "Pt", "P", "Rh"],
  "frac_coords": [[0.0000, 0.5000, 0.0000], [0.5000, 0.0000, 0.0000], [0.5000, 0.5000, 0.5000], [0.0000, 0.0000, 0.5000]]
}



# 17
{
  "formula": "P2PtRh",
  "functional": "PBE",
  "state": "optimized geometry",
  "total_energy_ev_per_cell": -26.011,
  "sg": "No. 8",
  "delta_e_f_ev_per_atom": -0.450,
  "lattice_angstrom": [[-3.3029, 1.8117, 1.4969], [-3.3640, 1.3876, -1.7861], [-2.2868, -4.6403, 0.6420]],
  "species": ["P", "P", "Rh", "Pt"],
  "frac_coords": [[0.2779, 0.2779, 0.2631], [0.9727, 0.9727, 0.7812], [0.6940, 0.6940, 0.9760], [0.5554, 0.5554, 0.4797]]
}



# 18
{
  "formula": "PPt2Rh",
  "functional": "PBE",
  "state": "optimized geometry",
  "total_energy_ev_per_cell": -25.351,
  "sg": "No. 10",
  "delta_e_f_ev_per_atom": -0.127,
  "lattice_angstrom": [[-1.0677, 3.1725, 1.4324], [-2.9319, -1.6066, 1.3730], [1.0447, -1.7267, 4.6030]],
  "species": ["P", "Pt", "Pt", "Rh"],
  "frac_coords": [[0.5000, 0.5000, 0.5000], [0.0000, 0.8747, 0.2765], [0.0000, 0.1253, 0.7235], [0.5000, 0.5000, 0.0000]]
}



# 19
{
  "formula": "P2PtRh2",
  "functional": "PBE",
  "state": "optimized geometry",
  "total_energy_ev_per_cell": -66.176,
  "sg": "No. 127",
  "delta_e_f_ev_per_atom": -0.305,
  "lattice_angstrom": [[-0.4352, -1.2165, -6.6865], [0.3976, -6.6933, 1.1919], [-2.9807, -0.1380, 0.2191]],
  "species": ["Rh", "Rh", "Rh", "Rh", "Pt", "Pt", "P", "P", "P", "P"],
  "frac_coords": [[0.3579, 0.1421, 0.5000], [0.1421, 0.6421, 0.5000], [0.6421, 0.8579, 0.5000], [0.8579, 0.3579, 0.5000], [0.5000, 0.5000, 0.0000], [0.0000, 0.0000, 0.0000], [0.6505, 0.1505, 0.0000], [0.1505, 0.3495, 0.0000], [0.8495, 0.6505, 0.0000], [0.3495, 0.8495, 0.0000]]
}



# 20
{
  "formula": "P2PtRh",
  "functional": "PBE",
  "state": "optimized geometry",
  "total_energy_ev_per_cell": -24.804,
  "sg": "No. 99",
  "delta_e_f_ev_per_atom": -0.148,
  "lattice_angstrom": [[2.9717, -0.0020, 0.0000], [0.0021, 2.9717, 0.0000], [0.0000, 0.0000, 7.5875]],
  "species": ["P", "P", "Pt", "Rh"],
  "frac_coords": [[0.5000, 0.5000, 0.3203], [0.0000, 0.0000, 0.9257], [0.0000, 0.0000, 0.4827], [0.5000, 0.5000, 0.7713]]
}